# PBE+U KNb2Ni2O7, relaxed
data_KNb2Ni2O7
_chemical_formula_sum 'K2 Nb4 Ni4 O14'
_space_group_name_H-M_alt 'I 4/m m m'
_space_group_IT_number 139
_space_group_name_Hall '-I 4 2'
_cell_length_a 4.084
_cell_length_b 4.084
_cell_length_c 17.439
_cell_angle_alpha 90.00
_cell_angle_beta 90.00
_cell_angle_gamma 90.00
loop_
_atom_site_label
_atom_site_type_symbol
_atom_site_fract_x
_atom_site_fract_y
_atom_site_fract_z
K1 K 0.000 0.000 0.000
Nb1 Nb 0.000 0.000 0.386
Ni1 Ni 0.000 0.500 0.250
O1 O 0.000 0.000 0.263
O2 O 0.000 0.000 0.500
O3 O 0.000 0.500 0.121
# Uncorrected energy: -7.053 eV/atom
# Total magnetic moment: 3.88 μB per formula unit